[1]
CaNpSnO6 | PBE | optimized geometry

Unit cell a=5.505 b=5.505 c=10.138 alpha=90.00 beta=90.00 gamma=120.00
Fractional coordinates of all 18 atoms:
Ca 0.000 0.000 0.000
Ca 0.000 0.000 0.500
Np 0.333 0.667 0.250
Np 0.667 0.333 0.750
Sn 0.333 0.667 0.750
Sn 0.667 0.333 0.250
O 0.002 0.358 0.139
O 0.002 0.644 0.361
O 0.356 0.358 0.361
O 0.356 0.998 0.139
O 0.358 0.002 0.639
O 0.358 0.356 0.861
O 0.642 0.644 0.139
O 0.642 0.998 0.361
O 0.644 0.002 0.861
O 0.644 0.642 0.639
O 0.998 0.356 0.639
O 0.998 0.642 0.861

Values from the calculation:
V = 14.78 A^3/atom
Space group = P-31c (163)
Formation energy (no corrections) = -21.9 eV per formula unit
Magnetic moment = 1.00 μB per formula unit

[2]
PmLuRu | PBE | optimized geometry

Unit cell a=3.406 b=3.406 c=13.003 alpha=90.00 beta=90.00 gamma=90.00
Fractional coordinates of all 6 atoms:
Pm 0.000 0.000 0.000
Pm 0.500 0.500 0.500
Lu 0.000 0.000 0.255
Lu 0.500 0.500 0.755
Ru 0.000 0.000 0.636
Ru 0.500 0.500 0.136

Values from the calculation:
V = 25.14 A^3/atom
Space group = I4mm (107)
Energy of formation = -0.312 eV/atom
ΔE to the lowest computed polymorph = 0.0 kJ/mol of atoms
Magnetic moment = 0.00 μB per formula unit

[3]
RbMn2AgCl8 | PBE | optimized geometry

Unit cell a=6.697 b=6.697 c=9.226 alpha=90.00 beta=90.00 gamma=120.00
Fractional coordinates of all 12 atoms:
Rb 0.000 0.000 0.000
Mn 0.333 0.667 0.743
Mn 0.667 0.333 0.257
Ag 0.000 0.000 0.500
Cl 0.028 0.327 0.676
Cl 0.299 0.972 0.676
Cl 0.327 0.299 0.324
Cl 0.333 0.667 0.982
Cl 0.667 0.333 0.018
Cl 0.673 0.701 0.676
Cl 0.701 0.028 0.324
Cl 0.972 0.673 0.324

Values from the calculation:
V = 29.86 A^3/atom
Space group = P-3 (147)
Formation energy (no corrections) = -12.1 eV per formula unit
Magnetic moment = 8.00 μB per formula unit

[4]
Ce4GeP3Rh12 | PBE | optimized geometry

Unit cell a=7.829 b=7.829 c=7.829 alpha=109.47 beta=109.47 gamma=109.47
Fractional coordinates of all 20 atoms:
Ce 0.000 0.000 0.500
Ce 0.000 0.500 0.000
Ce 0.500 0.000 0.000
Ce 0.500 0.500 0.500
Ge 0.000 0.000 0.000
P 0.000 0.500 0.500
P 0.500 0.000 0.500
P 0.500 0.500 0.000
Rh 0.000 0.259 0.259
Rh 0.000 0.741 0.741
Rh 0.250 0.500 0.750
Rh 0.250 0.750 0.500
Rh 0.259 0.000 0.259
Rh 0.259 0.259 0.000
Rh 0.500 0.250 0.750
Rh 0.500 0.750 0.250
Rh 0.741 0.000 0.741
Rh 0.741 0.741 0.000
Rh 0.750 0.250 0.500
Rh 0.750 0.500 0.250

Values from the calculation:
V = 18.47 A^3/atom
Space group = Im-3m (229)
Energy of formation = -0.562 eV/atom
Magnetic moment = 4.25 μB per formula unit